No. 1
This record from OQMD describes an optimized crystal structure of GdDyNi4. The functional is GGA-PBE.

a b c (Å): 7.1595 7.1595 7.1595
angles (deg): 90.00 90.00 90.00
Closest atoms and distances in Å follow each position.
Space group F-43m (No. 216)
One atom of each set of equivalent atoms:
Gd 0.0000 0.0000 0.0000 [4 per cell]  12 Ni 2.97, 4 Dy 3.10
Dy 0.2500 0.2500 0.7500 [4 per cell]  12 Ni 2.97, 4 Gd 3.10
Ni 0.1248 0.1248 0.3752 [16 per cell]  6 Ni 2.53-2.54

Results
- Formation energy from the elements: -0.434 eV per atom
- Uncorrected energy: -136.532 eV for the cell shown

---

No. 2
This record from OQMD describes an optimized crystal structure of Gd2Dy2Ni. The functional is GGA-PBE.

a b c (Å): 5.2656 5.2656 10.8108
angles (deg): 90.00 90.00 120.00
Closest atoms and distances in Å follow each position.
Space group P6_3/mmc (No. 194)
One atom of each set of equivalent atoms:
Gd 0.3333 0.6667 0.0959 [4 per cell]  6 Dy 3.21-3.47, 1 Gd 3.33, 3 Ni 3.47
Dy 0.0000 0.0000 0.0000 [2 per cell]  2 Ni 2.70
Dy 0.3333 0.6667 0.7500 [2 per cell]  3 Ni 3.04
Ni 0.0000 0.0000 0.2500 [2 per cell]  2 Dy 2.70

Results
- Formation energy from the elements: 0.039 eV per atom
- Uncorrected energy: -47.771 eV for the cell shown

---

No. 3
This record from OQMD describes an optimized crystal structure of GdDyNi2P2. The functional is GGA-PBE.

a b c (Å): 3.9118 3.9118 15.4315
angles (deg): 90.00 90.00 120.00
Closest atoms and distances in Å follow each position.
Space group P6_3/mmc (No. 194)
One atom of each set of equivalent atoms:
Gd 0.0000 0.0000 0.0000 [2 per cell]  6 P 2.96, 6 Ni 3.01
Dy 0.0000 0.0000 0.2500 [2 per cell]  6 Ni 2.93, 6 P 2.98
Ni 0.3333 0.6667 0.1293 [4 per cell]  3 P 2.26
P 0.3333 0.6667 0.6243 [4 per cell]  3 Ni 2.26

Results
- Uncorrected energy: -77.091 eV for the cell shown